Record 1
Material: YHSe2
Method: DFT, SCAN
State: single point on PBEsol structure

Unit cell a=4.1020 b=5.5967 c=8.1593 alpha=90.00 beta=90.00 gamma=90.00
Atoms (fractional coordinates):
Se (0.0000, 0.3004, 0.1246)
H (0.0000, 0.0451, 0.0713)
Y (0.5000, 0.2409, 0.3651)
Se (0.5000, 0.7443, 0.3880)
Se (0.0000, 0.2443, 0.6120)
Se (0.5000, 0.8004, 0.8754)
H (0.5000, 0.5451, 0.9287)
Y (0.0000, 0.7409, 0.6349)

crystal system	orthorhombic
distance to the lowest polymorph of the same formula	0.000	eV/atom
DOS at the Fermi energy	0.000	states/eV/f.u.

Record 2
Material: YHSe2
Method: DFT, SCAN
State: single point on PBEsol structure

Unit cell a=4.1688 b=4.1688 c=6.9122 alpha=72.45 beta=72.45 gamma=60.00
Atoms (fractional coordinates):
Se (0.9106, 0.9106, 0.2684)
Se (0.0894, 0.0894, 0.7316)
Y (0.5000, 0.5000, 0.5000)
H (0.0000, 0.0000, 0.0000)

crystal system	trigonal
distance to the lowest polymorph of the same formula	0.073	eV/atom
DOS at the Fermi energy	0.000	states/eV/f.u.

Record 3
Material: ZrHSe
Method: DFT, SCAN
State: single point on PBEsol structure

Unit cell a=3.5068 b=5.0290 c=5.3759 alpha=103.26 beta=90.00 gamma=110.41
Atoms (fractional coordinates):
H (0.6708, 0.3417, 0.8909)
Zr (0.2550, 0.5099, 0.0543)
Se (0.3392, 0.6784, 0.5864)
H (0.0859, 0.1718, 0.6982)
Se (0.9868, 0.9735, 0.1367)
Zr (0.6142, 0.2285, 0.5044)

electronic total energy	-19.2051	eV per atom
crystal system	monoclinic
DOS at the Fermi energy	0.169	states/eV/f.u.

Record 4
Material: SiH8
Method: DFT, SCAN
State: single point on PBEsol structure

Unit cell a=4.6340 b=4.6340 c=4.6340 alpha=91.95 beta=118.88 gamma=118.88
Atoms (fractional coordinates):
H (0.7403, 0.8743, 0.1340)
H (0.5000, 0.1904, 0.6904)
H (0.0000, 0.4407, 0.4407)
H (0.2597, 0.8660, 0.1257)
H (0.5000, 0.3096, 0.8096)
H (0.0000, 0.5593, 0.5593)
H (0.2597, 0.3937, 0.1340)
H (0.7403, 0.8660, 0.6063)
Si (0.0000, 0.0000, 0.0000)

electronic total energy	-4.1564	eV per atom
crystal system	tetragonal
DOS at the Fermi energy	0.000	states/eV/f.u.